The following is a DFT calculation (PBE-GGA) of crystalline ErTiCdIn at its relaxed geometry.

abc: 5.0065 5.0065 5.0065
angles: 60.00 60.00 60.00
Positions (direct):
1 Cd 0.5000 0.5000 0.5000
2 In 0.0000 0.0000 0.0000
3 Ti 0.2500 0.2500 0.2500
4 Er 0.7500 0.7500 0.7500

Calculated values
The total energy comes out at -0.30603 Ry/atom. The calculation puts the density of states at the Fermi level at 2.6 states/eV/f.u. The crystal system is cubic. As for the space-group type: No. 216.


The following is a DFT calculation (PBE-GGA) of crystalline NaTl2HBr4 at its relaxed geometry.

abc: 9.1403 9.1403 10.4074
angles: 124.55 124.55 76.86
Positions (direct):
1 Br 0.7683 0.7298 0.4458
2 Br 0.6495 0.3429 0.4960
3 Br 0.8430 0.1495 0.9960
4 Br 0.1571 0.8505 0.0040
5 Br 0.2317 0.2702 0.5542
6 Br 0.2298 0.2683 0.9458
7 Br 0.7702 0.7317 0.0542
8 Br 0.3505 0.6570 0.5040
9 H 0.0000 0.0000 0.0000
10 H 0.5000 0.5000 0.5000
11 Na 0.0000 0.5000 0.5000
12 Na 0.0000 0.5000 0.0000
13 Tl 0.5000 0.0000 0.0000
14 Tl 0.5000 0.5000 0.0000
15 Tl 0.0000 0.0000 0.5000
16 Tl 0.5000 0.0000 0.5000

Calculated values
The total energy comes out at -0.20444 Ry/atom. The calculation puts the density of states at the Fermi level at 0.0 states/eV/f.u. The crystal system is monoclinic. As for the space-group type: No. 15.


The following is a DFT calculation (PBE-GGA) of crystalline ZrTe2Ru at its relaxed geometry.

abc: 6.3460 6.3460 7.4239
angles: 64.70 64.70 90.00
Positions (direct):
1 Te 0.8750 0.9092 0.7500
2 Te 0.0908 0.6250 0.2500
3 Te 0.3750 0.3408 0.7500
4 Te 0.6592 0.1250 0.2500
5 Ru 0.7500 0.2500 0.5000
6 Ru 0.0000 0.0000 0.0000
7 Zr 0.2500 0.7500 0.5000
8 Zr 0.5000 0.5000 0.0000

Calculated values
The total energy comes out at -0.43686 Ry/atom. The calculation puts the density of states at the Fermi level at 3.6 states/eV/f.u. The crystal system is tetragonal. The value obtained for the uncorrected formation energy is 0.08 eV/atom. As for the offset from the most stable computed form: 551 meV per atom. As for the space-group type: No. 122.


The following is a DFT calculation (PBE-GGA) of crystalline YCd2Mo at its relaxed geometry.

abc: 3.1828 4.1859 6.4984
angles: 90.00 90.00 90.00
Positions (direct):
1 Cd 0.0000 0.0000 0.0194
2 Cd 0.5000 0.5000 0.2594
3 Y 0.5000 0.5000 0.7312
4 Mo 0.0000 0.0000 0.4900

Calculated values
The total energy comes out at -0.33106 Ry/atom. The calculation puts the density of states at the Fermi level at 2.7 states/eV/f.u. The crystal system is orthorhombic. As for the offset from the most stable computed form: 80 meV per atom. As for the space-group type: No. 25.


The following is a DFT calculation (PBE-GGA) of crystalline LiGa2PbAu4 at its relaxed geometry.

abc: 4.4245 4.4245 9.4858
angles: 76.51 76.51 60.00
Positions (direct):
1 Ga 0.2370 0.2370 0.2891
2 Ga 0.7630 0.7630 0.7109
3 Au 0.8652 0.8652 0.4045
4 Au 0.6009 0.6009 0.1973
5 Au 0.3991 0.3991 0.8027
6 Au 0.1348 0.1348 0.5955
7 Li 0.5000 0.5000 0.5000
8 Pb 0.0000 0.0000 0.0000

Calculated values
The total energy comes out at -0.24641 Ry/atom. The calculation puts the density of states at the Fermi level at 3.2 states/eV/f.u. The crystal system is trigonal. As for the space-group type: No. 166.


The following is a DFT calculation (PBE-GGA) of crystalline Pr3Er8Mg at its relaxed geometry.

abc: 8.3048 8.3048 8.3048
angles: 95.31 116.98 116.98
Positions (direct):
1 Er 0.5204 0.7496 0.7496
2 Er 0.4796 0.2292 0.2292
3 Er 0.0000 0.2504 0.7708
4 Er 0.0000 0.7708 0.2504
5 Er 0.7476 0.1182 0.1182
6 Er 0.2524 0.3705 0.3705
7 Er 0.0000 0.6295 0.8818
8 Er 0.0000 0.8818 0.6295
9 Mg 0.0000 0.0000 0.0000
10 Pr 0.5000 0.7500 0.2500
11 Pr 0.0000 0.5000 0.5000
12 Pr 0.5000 0.2500 0.7500

Calculated values
The total energy comes out at -0.27771 Ry/atom. The calculation puts the density of states at the Fermi level at 18.5 states/eV/f.u. The crystal system is tetragonal. As for the space-group type: No. 121.


- What is the total energy in the first record?
  -0.30603 Ry/atom